A geometry-optimized FeTePt2 structure, computed with GGA-PBE.

The structure belongs to space group C2/m (No. 12); the cell edges are 5.5088, 6.8674 and 3.6489 Å and the angles 90.00°, 92.47° and 90.00°. The distinct sites, in fractional coordinates, are Fe at (0.0000, 0.0000, 0.0000), Te at (0.0000, 0.5000, 0.0000) and Pt at (0.2500, 0.2500, 0.5000).

For the formation energy without anion corrections, the calculation gives 44 kJ/mol of formula units. The value obtained for the total DFT energy (no corrections) is -5.806 eV/atom.

---

A geometry-optimized FeTePt2 structure, computed with GGA-PBE.

The structure belongs to space group P4mm (No. 99); the cell edges are 3.5134, 3.5134 and 5.6557 Å and the angles 90.00°, 90.00° and 90.00°. The distinct sites, in fractional coordinates, are Fe at (0.0000, 0.0000, 0.0000), Te at (0.5000, 0.5000, 0.6831), Pt at (0.0000, 0.0000, 0.4592) and Pt at (0.5000, 0.5000, 0.1761).

For the formation energy without anion corrections, the calculation gives 39 kJ/mol of formula units. The value obtained for the total DFT energy (no corrections) is -5.820 eV/atom.

---

A geometry-optimized FeTe2Pt structure, computed with GGA-PBE.

The structure belongs to space group R3m (No. 160, hexagonal axes); the cell edges are 3.9996, 3.9996 and 19.9388 Å and the angles 90.00°, 90.00° and 120.00°. The distinct sites, in fractional coordinates, are Fe at (0.0000, 0.0000, 0.0000), Te at (0.0000, 0.0000, 0.5451), Te at (0.0000, 0.0000, 0.7354) and Pt at (0.0000, 0.0000, 0.2792).

For the formation energy without anion corrections, the calculation gives -33 kJ/mol of formula units. The calculation puts the energy above the most stable polymorph in this dataset at 0.000 eV per atom. The value obtained for the total DFT energy (no corrections) is -5.282 eV/atom.

---

A geometry-optimized FeTePt2 structure, computed with GGA-PBE.

The structure belongs to space group P4/mmm (No. 123); the cell edges are 2.9987, 2.9987 and 7.7482 Å and the angles 90.00°, 90.00° and 90.00°. The distinct sites, in fractional coordinates, are Fe at (0.0000, 0.0000, 0.0000), Te at (0.0000, 0.0000, 0.5000) and Pt at (0.5000, 0.5000, 0.2075).

For the formation energy without anion corrections, the calculation gives 21 kJ/mol of formula units. The value obtained for the total DFT energy (no corrections) is -5.867 eV/atom.

---

A geometry-optimized Fe3TePt structure, computed with GGA-PBE.

The structure belongs to space group Pm-3m (No. 221); the cell edges are 4.7437, 4.7437 and 4.7437 Å and the angles 90.00°, 90.00° and 90.00°. The distinct sites, in fractional coordinates, are Fe at (0.0000, 0.0000, 0.5000), Te at (0.5000, 0.5000, 0.5000) and Pt at (0.0000, 0.0000, 0.0000).

For the formation energy without anion corrections, the calculation gives 415 kJ/mol of formula units. The calculation puts the energy above the most stable polymorph in this dataset at 0.000 eV per atom. The value obtained for the total DFT energy (no corrections) is -6.053 eV/atom.

---

A geometry-optimized FeTe2Pt structure, computed with GGA-PBE.

The structure belongs to space group P4mm (No. 99); the cell edges are 3.5579, 3.5579 and 7.1987 Å and the angles 90.00°, 90.00° and 90.00°. The distinct sites, in fractional coordinates, are Fe at (0.0000, 0.0000, 0.0000), Te at (0.0000, 0.0000, 0.3586), Te at (0.5000, 0.5000, 0.8265) and Pt at (0.5000, 0.5000, 0.1966).

For the formation energy without anion corrections, the calculation gives 3 kJ/mol of formula units. The calculation puts the energy above the most stable polymorph in this dataset at 0.093 eV per atom. The value obtained for the total DFT energy (no corrections) is -5.190 eV/atom.